1.
This record from Alexandria describes La3Sm2PaAs6 after structural relaxation. The functional is GGA-PBE. Values from VASP.

Output
The formation energy comes out at -1.487 eV/atom. The value obtained for the density of states at the Fermi level is 4.99 states/eV/cell.

```
&SYSTEM
  ibrav = 0, nat = 12, ntyp = 4
/
ATOMIC_SPECIES
La 138.91 La.upf
Sm 150.36 Sm.upf
Pa 231.04 Pa.upf
As 74.92 As.upf
ATOMIC_POSITIONS crystal
La 0.169 0.831 0.500
La 0.831 0.169 0.500
La 0.500 0.500 0.500
Sm 0.334 0.666 0.000
Sm 0.666 0.334 0.000
Pa 0.000 0.000 0.000
As 0.922 0.598 0.764
As 0.756 0.756 0.237
As 0.078 0.402 0.236
As 0.598 0.922 0.764
As 0.244 0.244 0.763
As 0.402 0.078 0.236
CELL_PARAMETERS angstrom
-5.113 -5.308 0.250
3.081 2.446 6.237
-4.331 5.803 -1.588
```



2.
This record from Alexandria describes MgPbS2 after structural relaxation. The functional is GGA-PBE. Values from VASP.

Output
The calculation puts the formation energy from raw total energies at -0.843 eV/atom.

```
&SYSTEM
  ibrav = 0, nat = 4, ntyp = 3
/
ATOMIC_SPECIES
Mg 24.30 Mg.upf
Pb 207.20 Pb.upf
S 32.06 S.upf
ATOMIC_POSITIONS crystal
Mg 0.000 0.000 0.001
Pb 0.667 0.333 0.507
S 0.667 0.333 0.914
S 0.000 0.000 0.328
CELL_PARAMETERS angstrom
-2.112 -2.771 2.223
2.613 -1.268 -2.940
5.771 -0.211 5.220
```



3.
This record from Alexandria describes Ac6Pt3Rh2I after structural relaxation. The functional is GGA-PBE. Values from VASP.

Output
The value obtained for the density of states at the Fermi level is 6.81 states/eV/cell. The calculation puts the formation energy from raw total energies at -0.949 eV/atom.

```
&SYSTEM
  ibrav = 0, nat = 12, ntyp = 4
/
ATOMIC_SPECIES
Ac 227.00 Ac.upf
Pt 195.08 Pt.upf
Rh 102.91 Rh.upf
I 126.90 I.upf
ATOMIC_POSITIONS crystal
Ac 0.317 0.894 0.634
Ac 0.668 0.584 0.336
Ac 0.683 0.106 0.366
Ac 0.011 0.286 0.022
Ac 0.989 0.714 0.978
Ac 0.332 0.416 0.664
Pt 0.500 0.500 0.000
Pt 0.843 0.161 0.685
Pt 0.157 0.839 0.315
Rh 0.832 0.664 0.663
Rh 0.168 0.336 0.337
I 0.500 0.000 0.000
CELL_PARAMETERS angstrom
4.357 0.000 0.000
0.000 9.157 0.528
-2.178 -2.433 9.250
```



4.
This record from Alexandria describes Ca2TeAu after structural relaxation. The functional is GGA-PBE. Values from VASP.

Output
As for the energy above the most stable polymorph in this dataset: 0.36 eV per formula unit. The value obtained for the density of states at the Fermi level is 1.26 states/eV/cell. The calculation puts the formation energy from raw total energies at -1.063 eV/atom.

```
&SYSTEM
  ibrav = 0, nat = 4, ntyp = 3
/
ATOMIC_SPECIES
Ca 40.08 Ca.upf
Te 127.60 Te.upf
Au 196.97 Au.upf
ATOMIC_POSITIONS crystal
Ca 0.000 0.000 0.758
Ca 0.000 0.000 0.242
Te 0.500 0.500 0.500
Au 0.500 0.500 0.000
CELL_PARAMETERS angstrom
3.846 0.000 0.000
0.000 3.846 0.000
0.000 0.000 7.294
```



Number 1: theoretical density 7.047 Mg/m³, total moment 0.00 μB per atom. Number 2: theoretical density 4.264 Mg/m³, total moment 0.00 μB per atom. Number 3: theoretical density 10.107 Mg/m³, total moment 0.00 μB per atom. Number 4: theoretical density 6.230 Mg/m³, total moment 0.00 μB per atom.